(1)
Density functional theory data (PBE-GGA) for crystalline LaTlO2 at its relaxed geometry.

POSCAR file:
```
LaTlO2
1.0
1.879 1.085 6.903
-1.879 1.085 6.903
0.000 -2.169 6.903
La Tl O
1 1 2
Direct
0.000 0.000 0.000
0.815 0.815 0.815
0.403 0.403 0.403
0.625 0.625 0.625
```

The total magnetization comes out at 0.0 μB/f.u. As for the uncorrected formation energy: -2.278 eV per atom.

---

(2)
Density functional theory data (PBE-GGA) for crystalline Co2PtI at its relaxed geometry.

POSCAR file:
```
Co2PtI
1.0
0.000 3.134 3.134
3.134 0.000 3.134
3.134 3.134 0.000
Co Pt I
2 1 1
Direct
0.250 0.250 0.250
0.750 0.750 0.750
0.000 0.000 0.000
0.500 0.500 0.500
```

The total magnetization comes out at 2.8 μB/f.u. As for the uncorrected formation energy: 0.701 eV per atom.

---

| no. | volume (Å³/cell) |
| --- | --- |
| 1 | 84.40 |
| 2 | 61.56 |